No. 1
This record from Alexandria via LeMat-Bulk describes a relaxed Ta2SiC crystal. The functional is PBE.

* Fermi-level density of states: 8.2 states/eV/cell
* size of the total moment: 0.00 μB per atom
* volume: 18.17 Å³ per atom

a b c (Å): 5.2980 5.2980 10.3594
angles (deg): 90.00 90.00 90.00
Space group I-42d (No. 122)
Unique sites:
Ta: 0.1748 0.2500 0.1250 [8 per cell]
Si: 0.0000 0.0000 0.5000 [4 per cell]
C: 0.0000 0.0000 0.0000 [4 per cell]



No. 2
This record from Alexandria via LeMat-Bulk describes a relaxed CdCl2 crystal. The functional is PBE.

* size of the total moment: 0.00 μB per atom
* volume: 22.54 Å³ per atom

a b c (Å): 6.3777 6.3777 6.6497
angles (deg): 90.00 90.00 90.00
Space group I4/mcm (No. 140)
Unique sites:
Cd: 0.0000 0.0000 0.2500 [4 per cell]
Cl: 0.1879 0.3121 0.0000 [8 per cell]



No. 3
This record from Alexandria via LeMat-Bulk describes a relaxed Sm4PtSe2Cl crystal. The functional is PBE.

* Fermi-level density of states: 4.9 states/eV/cell
* size of the total moment: 0.00 μB per atom
* volume: 25.65 Å³ per atom

a b c (Å): 7.2563 4.0462 7.3695
angles (deg): 90.00 108.48 90.00
Space group P2/m (No. 10)
Unique sites:
Sm: 0.2328 0.0000 0.2364 [2 per cell]
Sm: 0.2391 0.5000 0.7453 [2 per cell]
Pt: 0.0000 0.5000 0.0000 [1 per cell]
Se: 0.0000 0.0000 0.5000 [1 per cell]
Se: 0.5000 0.5000 0.5000 [1 per cell]
Cl: 0.5000 0.0000 0.0000 [1 per cell]



No. 4
This record from Alexandria via LeMat-Bulk describes a relaxed NaLiCoGe2 crystal. The functional is PBE.

* Fermi-level density of states: 3.3 states/eV/cell
* ΔE_f: -74 meV per atom
* size of the total moment: 0.00 μB per atom
* volume: 19.39 Å³ per atom

a b c (Å): 4.4833 4.4833 4.8236
angles (deg): 90.00 90.00 90.00
Space group P4/mmm (No. 123)
Unique sites:
Na: 0.0000 0.0000 0.0000 [1 per cell]
Li: 0.5000 0.5000 0.0000 [1 per cell]
Co: 0.5000 0.5000 0.5000 [1 per cell]
Ge: 0.0000 0.5000 0.5000 [2 per cell]



Listing total energy for the structures above in their given order: -9.198, -2.277, -5.769, -3.989 eV per atom.